{
  "formula": "KCr2FeH2O8",
  "functional": "PBE with a Hubbard U",
  "state": "optimized geometry",
  "cell": [[2.829, 4.233, -0.898], [-2.829, 4.233, -0.898], [0.000, 1.549, 7.680]],
  "species": ["H", "H", "O", "O", "O", "O", "O", "O", "O", "O", "Cr", "Cr", "Fe", "K"],
  "frac_coords": [[0.699, 0.699, 0.080], [0.301, 0.301, 0.920], [0.239, 0.742, 0.181], [0.689, 0.689, 0.596], [0.756, 0.756, 0.971], [0.258, 0.761, 0.819], [0.244, 0.244, 0.029], [0.311, 0.311, 0.404], [0.742, 0.239, 0.181], [0.761, 0.258, 0.819], [0.619, 0.619, 0.789], [0.381, 0.381, 0.211], [0.000, 0.000, 0.000], [0.000, 0.000, 0.500]],
  "magmom_total_mub_per_cell": 3.000,
  "space_group": "C2/m, No. 12",
  "volume_a3_per_cell": 192,
  "final_energy_ry_per_atom": -0.4526
}